# K2MnFe | Alexandria via LeMat-Bulk | PBE-GGA | relaxed
# Raw total energy: -33.39 eV/cell
# E above lowest polymorph: 0.0022 eV per atom
# Calculated formation energy: 0.783 eV per atom
data_K2MnFe
_space_group_name_H-M_alt 'C 1 2/m 1'
_space_group_IT_number 12
_space_group_name_Hall '-C 2y'
_cell_length_a 20.616
_cell_length_b 3.181
_cell_length_c 3.908
_cell_angle_alpha 90.00
_cell_angle_beta 100.66
_cell_angle_gamma 90.00
loop_
_atom_site_label
_atom_site_fract_x
_atom_site_fract_y
_atom_site_fract_z
K1 0.147 0.000 0.147
Mn1 0.000 0.000 0.500
Fe1 0.000 0.500 0.000